Density functional theory data (PBE with a Hubbard U) for crystalline MnCo2SnO6 at its relaxed geometry.

a b c (Å): 5.147 5.147 5.405
angles (deg): 61.56 61.57 60.00
Atoms (fractional coordinates):
Co (0.016, 0.016, 0.953)
Co (0.515, 0.515, 0.455)
O (0.888, 0.637, 0.236)
O (0.145, 0.380, 0.742)
O (0.380, 0.733, 0.742)
O (0.238, 0.888, 0.237)
O (0.733, 0.145, 0.742)
O (0.637, 0.238, 0.236)
Mn (0.802, 0.802, 0.594)
Sn (0.308, 0.308, 0.076)

Properties
DFT total energy	-6.350	eV per atom
crystal system	trigonal